The following is a PBE calculation of a geometry-optimized Dy2Re2Si2B structure, from Alexandria.

a = 10.852 Å, b = 4.046 Å, c = 6.926 Å
α = 90.00°, β = 126.08°, γ = 90.00°
Space group C2/m (No. 12)
One atom of each set of equivalent atoms:
1 Dy 0.076 0.000 0.304 (multiplicity 4)
2 Re 0.216 0.500 0.092 (multiplicity 4)
3 Si 0.137 0.500 0.674 (multiplicity 4)
4 B 0.000 0.500 0.000 (multiplicity 2)

Computed properties:
- Theoretical density: 10328 kg/m3
- Raw total energy: -7.990 eV per atom


The following is a PBE calculation of a geometry-optimized DyBRh2 structure, from Alexandria.

a = 3.4736 Å, b = 3.4736 Å, c = 18.2561 Å
α = 90.00°, β = 90.00°, γ = 120.00°
Space group R-3m (No. 166, hexagonal axes)
One atom of each set of equivalent atoms:
1 Dy 0.0000 0.0000 0.0000 (multiplicity 3)
2 B 0.0000 0.0000 0.5000 (multiplicity 3)
3 Rh 0.0000 0.0000 0.2176 (multiplicity 6)

Computed properties:
- Energy of formation from the pure elements: -40.56 kJ/mol of atoms
- Theoretical density: 9900 kg/m3
- Raw total energy: -6.916 eV per atom


The following is a PBE calculation of a geometry-optimized DyB3Rh3 structure, from Alexandria.

a = 7.104 Å, b = 7.451 Å, c = 7.463 Å
α = 75.35°, β = 76.58°, γ = 72.86°
Space group P1 (No. 1)
One atom of each set of equivalent atoms:
1 Dy 0.000 0.000 0.000 (multiplicity 1)
2 Dy 0.121 0.616 0.479 (multiplicity 1)
3 Dy 0.591 0.091 0.347 (multiplicity 1)
4 Dy 0.721 0.497 0.897 (multiplicity 1)
5 B 0.064 0.896 0.665 (multiplicity 1)
6 B 0.103 0.646 0.143 (multiplicity 1)
7 B 0.115 0.302 0.013 (multiplicity 1)
8 B 0.205 0.261 0.453 (multiplicity 1)
9 B 0.333 0.095 0.046 (multiplicity 1)
10 B 0.365 0.455 0.783 (multiplicity 1)
11 B 0.452 0.953 0.858 (multiplicity 1)
12 B 0.475 0.747 0.383 (multiplicity 1)
13 B 0.578 0.481 0.264 (multiplicity 1)
14 B 0.645 0.895 0.014 (multiplicity 1)
15 B 0.686 0.718 0.514 (multiplicity 1)
16 B 0.930 0.022 0.456 (multiplicity 1)
17 Rh 0.084 0.609 0.885 (multiplicity 1)
18 Rh 0.225 0.011 0.345 (multiplicity 1)
19 Rh 0.265 0.227 0.731 (multiplicity 1)
20 Rh 0.303 0.378 0.165 (multiplicity 1)
21 Rh 0.380 0.806 0.687 (multiplicity 1)
22 Rh 0.388 0.736 0.120 (multiplicity 1)
23 Rh 0.593 0.184 0.879 (multiplicity 1)
24 Rh 0.596 0.463 0.548 (multiplicity 1)
25 Rh 0.761 0.872 0.687 (multiplicity 1)
26 Rh 0.779 0.686 0.217 (multiplicity 1)
27 Rh 0.890 0.294 0.253 (multiplicity 1)
28 Rh 0.945 0.198 0.625 (multiplicity 1)

Computed properties:
- Energy of formation from the pure elements: -42.07 kJ/mol of atoms
- Theoretical density: 9296 kg/m3
- Raw total energy: -7.106 eV per atom


The following is a PBE calculation of a geometry-optimized Dy3B7Rh structure, from Alexandria.

a = 3.499 Å, b = 15.764 Å, c = 9.376 Å
α = 90.00°, β = 90.00°, γ = 90.00°
Space group Cmcm (No. 63)
One atom of each set of equivalent atoms:
1 Dy 0.000 0.106 0.060 (multiplicity 8)
2 Dy 0.000 0.246 0.750 (multiplicity 4)
3 B 0.000 0.273 0.033 (multiplicity 8)
4 B 0.000 0.367 0.151 (multiplicity 8)
5 B 0.000 0.457 0.750 (multiplicity 4)
6 B 0.000 0.479 0.096 (multiplicity 8)
7 Rh 0.000 0.054 0.750 (multiplicity 4)

Computed properties:
- Energy of formation from the pure elements: -57.89 kJ/mol of atoms
- Theoretical density: 8555 kg/m3
- Raw total energy: -6.773 eV per atom


The lowest theoretical density belongs to which entry?
Dy3B7Rh


Which of these has the highest theoretical density?
Dy2Re2Si2B